*P*
{"formula": "BiTe2IO", "functional": "PBE", "state": "relaxed", "lattice": [[5.715, 0.000, 0.000], [0.000, 5.715, 0.000], [0.000, 0.000, 6.124]], "species": ["Bi", "Te", "Te", "I", "O"], "frac_coords": [[0.000, 0.000, 0.000], [0.000, 0.500, 0.500], [0.500, 0.000, 0.500], [0.000, 0.000, 0.500], [0.500, 0.500, 0.000]]}

=====

*Q*
{"formula": "BiTe2IO", "functional": "PBE", "state": "relaxed", "lattice": [[4.604, 0.000, 0.000], [0.000, 4.604, 0.000], [0.000, 0.000, 6.338]], "species": ["Bi", "Te", "Te", "I", "O"], "frac_coords": [[0.000, 0.000, 0.000], [0.000, 0.500, 0.500], [0.500, 0.000, 0.500], [0.500, 0.500, 0.000], [0.500, 0.500, 0.500]]}

=====

Most stable structure - *Q*; separation to the second - 1.350 eV/atom.

=====

*P*
{"formula": "TlBiIO2", "functional": "PBE", "state": "relaxed", "lattice": [[4.486, 0.000, 0.000], [0.000, 4.486, 0.000], [0.000, 0.000, 6.482]], "species": ["Tl", "Bi", "I", "O", "O"], "frac_coords": [[0.000, 0.000, 0.000], [0.500, 0.500, 0.500], [0.500, 0.500, 0.000], [0.000, 0.500, 0.500], [0.500, 0.000, 0.500]]}

=====

*Q*
{"formula": "TlBiIO2", "functional": "PBE", "state": "relaxed", "lattice": [[4.491, 0.000, 0.000], [0.000, 4.491, 0.000], [0.000, 0.000, 5.904]], "species": ["Tl", "Bi", "I", "O", "O"], "frac_coords": [[0.000, 0.000, 0.000], [0.500, 0.500, 0.500], [0.000, 0.000, 0.500], [0.000, 0.500, 0.000], [0.500, 0.000, 0.000]]}

=====

Most stable structure - *P*; separation to the second - 0.677 eV/atom.